No. 1
This record from the Alexandria database describes a relaxed Li4Mg5In2 crystal. The functional is PBE-GGA.

abc: 9.3952 9.3952 9.3952
angles: 160.33 115.47 68.18
Fractional positions:
Li 0.0804 0.0804 0.0000
Li 0.2360 0.5000 0.7360
Li 0.7640 0.5000 0.2640
Li 0.9196 0.9196 0.0000
Mg 0.0176 0.6864 0.3311
Mg 0.3553 0.6864 0.6689
Mg 0.5000 0.0000 0.5000
Mg 0.6447 0.3136 0.3311
Mg 0.9824 0.3136 0.6689
In 0.3289 0.3289 0.0000
In 0.6711 0.6711 0.0000

Properties
Its space-group type is Immm (71). Its calculated total energy is -20.85 eV for the cell shown.

---

No. 2
This record from the Alexandria database describes a relaxed Li8Mg6In crystal. The functional is PBE-GGA.

abc: 7.0709 7.0709 7.0709
angles: 71.82 71.82 71.82
Fractional positions:
Li 0.0486 0.3813 0.8620
Li 0.1380 0.9514 0.6187
Li 0.2339 0.2339 0.2339
Li 0.3813 0.8620 0.0486
Li 0.6187 0.1380 0.9514
Li 0.7661 0.7661 0.7661
Li 0.8620 0.0486 0.3813
Li 0.9514 0.6187 0.1380
Mg 0.1758 0.6244 0.4259
Mg 0.3756 0.5741 0.8242
Mg 0.4259 0.1758 0.6244
Mg 0.5741 0.8242 0.3756
Mg 0.6244 0.4259 0.1758
Mg 0.8242 0.3756 0.5741
In 0.0000 0.0000 0.0000

Properties
Its space-group type is R-3 (148). Its calculated total energy is -27.85 eV for the cell shown.

---

No. 3
This record from the Alexandria database describes a relaxed Li3Mg2In6 crystal. The functional is PBE-GGA.

abc: 9.5549 9.5549 3.1925
angles: 90.00 90.00 119.75
Fractional positions:
Li 0.0000 0.0000 0.0000
Li 0.2620 0.7380 0.5000
Li 0.7380 0.2620 0.5000
Mg 0.2679 0.2679 0.5000
Mg 0.7321 0.7321 0.5000
In 0.0268 0.3415 0.0000
In 0.3415 0.0268 0.0000
In 0.4050 0.5950 0.0000
In 0.5950 0.4050 0.0000
In 0.6585 0.9732 0.0000
In 0.9732 0.6585 0.0000

Properties
Its space-group type is Cmmm (65). Its calculated total energy is -26.62 eV for the cell shown.

---

No. 4
This record from the Alexandria database describes a relaxed LiMg5In3 crystal. The functional is PBE-GGA.

abc: 7.1776 7.1776 10.6085
angles: 108.10 108.10 88.73
Fractional positions:
Li 0.0840 0.0840 0.2881
Li 0.9160 0.9160 0.7119
Mg 0.0320 0.5829 0.8744
Mg 0.2716 0.7284 0.5000
Mg 0.3080 0.3080 0.5834
Mg 0.4171 0.9680 0.1256
Mg 0.4610 0.4610 0.1146
Mg 0.5390 0.5390 0.8854
Mg 0.5829 0.0320 0.8744
Mg 0.6920 0.6920 0.4166
Mg 0.7284 0.2716 0.5000
Mg 0.9680 0.4171 0.1256
In 0.0000 0.0000 0.0000
In 0.0000 0.0000 0.5000
In 0.2160 0.2160 0.8323
In 0.3601 0.3601 0.3228
In 0.6399 0.6399 0.6772
In 0.7840 0.7840 0.1677

Properties
Its space-group type is C2/m (12). Its calculated total energy is -34.56 eV for the cell shown.

---

No. 5
This record from the Alexandria database describes a relaxed Li2Mg3In6 crystal. The functional is PBE-GGA.

abc: 14.5253 14.5253 14.5253
angles: 162.68 162.68 24.59
Fractional positions:
Li 0.0463 0.0463 0.0000
Li 0.9537 0.9537 0.0000
Mg 0.3042 0.3042 0.0000
Mg 0.5000 0.5000 0.0000
Mg 0.6958 0.6958 0.0000
In 0.1116 0.6116 0.5000
In 0.2006 0.2006 0.0000
In 0.3884 0.8884 0.5000
In 0.6116 0.1116 0.5000
In 0.7994 0.7994 0.0000
In 0.8884 0.3884 0.5000

Properties
Its space-group type is I4/mmm (139). Its calculated total energy is -25.04 eV for the cell shown.

---

No. 6
This record from the Alexandria database describes a relaxed Li8Mg3In crystal. The functional is PBE-GGA.

abc: 7.3484 7.3484 7.3484
angles: 117.35 117.35 94.66
Fractional positions:
Li 0.1076 0.1076 0.7380
Li 0.2281 0.2281 0.4892
Li 0.2610 0.7719 0.0000
Li 0.3696 0.3696 0.2620
Li 0.6304 0.8924 0.0000
Li 0.7390 0.7390 0.5108
Li 0.7719 0.2610 0.0000
Li 0.8924 0.6304 0.0000
Mg 0.2500 0.7500 0.5000
Mg 0.5000 0.5000 0.0000
Mg 0.7500 0.2500 0.5000
In 0.0000 0.0000 0.0000

Properties
Its space-group type is I-42m (121). Its calculated total energy is -20.74 eV for the cell shown.